VASP calculation (GGA-PBE) on crystalline YAlCr at its relaxed geometry.

magnetic moment	4.042	μB/cell
calculated volume	79.1	Å³/cell
formation enthalpy at 0 K	795	meV per atom

Geometry as POSCAR:
```
YAlCr
1.0
-2.6672 0.2120 4.0066
-3.6195 -3.1123 0.6519
0.3717 -3.4644 3.3274
Al Cr Y
1 1 1
direct
0.0000 0.0000 0.0000 Al
0.5000 0.5000 0.5000 Cr
0.7500 0.7500 0.7500 Y
```